Entry 1:
# Er2AlOs3 (PBE-GGA, optimized geometry)
data_Er2AlOs3
_chemical_formula_sum 'Er4 Al2 Os6'
_space_group_name_H-M_alt 'P 63/m m c'
_space_group_IT_number 194
_space_group_name_Hall '-P 6c 2c'
_cell_length_a 5.3855
_cell_length_b 5.3855
_cell_length_c 8.5400
_cell_angle_alpha 90.00
_cell_angle_beta 90.00
_cell_angle_gamma 120.00
loop_
_atom_site_label
_atom_site_fract_x
_atom_site_fract_y
_atom_site_fract_z
_atom_site_occupancy
Er1 0.3333 0.6667 0.0673 1
Al1 0.0000 0.0000 0.0000 1
Os1 0.1713 0.3425 0.7500 1
# - crystal system = hexagonal
# - DFT total energy (eV/atom) = -8.19
# - volume (Å³ per atom) = 17.88

Entry 2:
# YPu2Cu9 (PBE-GGA, optimized geometry)
data_YPu2Cu9
_chemical_formula_sum 'Y3 Pu6 Cu27'
_space_group_name_H-M_alt 'R -3 m'
_space_group_IT_number 166
_space_group_name_Hall '-R 3 2"'
_cell_length_a 4.8996
_cell_length_b 4.8996
_cell_length_c 25.4890
_cell_angle_alpha 90.00
_cell_angle_beta 90.00
_cell_angle_gamma 120.00
loop_
_atom_site_label
_atom_site_fract_x
_atom_site_fract_y
_atom_site_fract_z
_atom_site_occupancy
Y1 0.0000 0.0000 0.0000 1
Pu1 0.0000 0.0000 0.1550 1
Cu1 0.0000 0.0000 0.3317 1
Cu2 0.0000 0.0000 0.5000 1
Cu3 0.0030 0.5015 0.0810 1
# - crystal system = trigonal
# - E_form (eV per atom) = 0.159
# - volume (Å³ per atom) = 14.72

Entry 3:
# LiPmSc (PBE-GGA, optimized geometry)
data_LiPmSc
_chemical_formula_sum 'Li4 Pm4 Sc4'
_space_group_name_H-M_alt 'F -4 3 m'
_space_group_IT_number 216
_space_group_name_Hall 'F -4 2 3'
_cell_length_a 7.0135
_cell_length_b 7.0135
_cell_length_c 7.0135
_cell_angle_alpha 90.00
_cell_angle_beta 90.00
_cell_angle_gamma 90.00
loop_
_atom_site_label
_atom_site_fract_x
_atom_site_fract_y
_atom_site_fract_z
_atom_site_occupancy
Li1 0.0000 0.0000 0.0000 1
Pm1 0.2500 0.2500 0.2500 1
Sc1 0.0000 0.0000 0.5000 1
# - crystal system = cubic
# - ΔE to the lowest computed polymorph (meV per atom) = 371
# - volume (Å³ per atom) = 28.75